ReAsCl2 | meta-GGA SCAN | PBEsol geometry

Cell: 2.8748 4.3895 5.2164 Å, 90.00 90.00 90.00°
With the nearest neighbours (Å) after each atom.
Element x y z (fractional)
1 Re 0.0000 0.0000 0.0000  4 Cl 2.62, 2 Re 2.87
2 As 0.5000 0.0000 0.5000  4 Cl 2.62, 2 As 2.87
3 Cl 0.0000 0.5000 0.5000  4 As 2.62, 2 Cl 2.87
4 Cl 0.5000 0.5000 0.0000  4 Re 2.62, 2 Cl 2.87

## Properties
E_form (uncorrected): 0.89 eV per atom
Symmetry: No. 47
DFT total energy: -25.92 eV/atom
Size of the total moment: 2.0 μB per formula unit


TaReAsCl2 | meta-GGA SCAN | PBEsol geometry

Cell: 4.4084 4.4084 5.4234 Å, 90.00 90.00 90.00°
With the nearest neighbours (Å) after each atom.
Element x y z (fractional)
1 Ta 0.0000 0.0000 0.0000  4 As 3.12
2 Re 0.5000 0.5000 0.5000  4 Cl 2.20
3 As 0.5000 0.5000 0.0000  2 Re 2.71
4 Cl 0.0000 0.5000 0.5000  2 Re 2.20
5 Cl 0.5000 0.0000 0.5000  2 Re 2.20

## Properties
E_form (uncorrected): 1.24 eV per atom
Symmetry: No. 123
DFT total energy: -33.53 eV/atom
Size of the total moment: 2.2 μB per formula unit


AsRhCl | meta-GGA SCAN | PBEsol geometry

Cell: 5.9718 5.9718 5.9718 Å, 90.00 90.00 90.00°
With the nearest neighbours (Å) after each atom.
Element x y z (fractional)
1 As 0.0000 0.0000 0.0000  4 Rh 2.59
2 As 0.0000 0.5000 0.5000  4 Rh 2.59
3 As 0.5000 0.0000 0.5000  4 Rh 2.59
4 As 0.5000 0.5000 0.0000  4 Rh 2.59
5 Rh 0.2500 0.2500 0.2500  4 Cl 2.59, 4 As 2.59
6 Rh 0.2500 0.7500 0.7500  4 Cl 2.59, 4 As 2.59
7 Rh 0.7500 0.2500 0.7500  4 Cl 2.59, 4 As 2.59
8 Rh 0.7500 0.7500 0.2500  4 As 2.59, 4 Cl 2.59
9 Cl 0.0000 0.0000 0.5000  4 Rh 2.59
10 Cl 0.0000 0.5000 0.0000  4 Rh 2.59
11 Cl 0.5000 0.0000 0.0000  4 Rh 2.59
12 Cl 0.5000 0.5000 0.5000  4 Rh 2.59

## Properties
E_form (uncorrected): -0.07 eV per atom
Symmetry: No. 216
DFT total energy: -20.71 eV/atom
Size of the total moment: 0.0 μB per formula unit


As2RhCl | meta-GGA SCAN | PBEsol geometry

Cell: 5.0872 5.0872 5.2911 Å, 90.00 90.00 90.00°
With the nearest neighbours (Å) after each atom.
Element x y z (fractional)
1 As 0.0000 0.5000 0.0000  2 Cl 2.54, 2 Rh 2.54, 2 As 2.65
2 As 0.0000 0.5000 0.5000  2 Cl 2.54, 2 Rh 2.54, 2 As 2.65
3 As 0.5000 0.0000 0.0000  2 Cl 2.54, 2 Rh 2.54, 2 As 2.65
4 As 0.5000 0.0000 0.5000  2 Cl 2.54, 2 Rh 2.54, 2 As 2.65
5 Rh 0.0000 0.0000 0.0000  4 As 2.54, 2 Cl 2.65
6 Rh 0.5000 0.5000 0.5000  4 As 2.54, 2 Cl 2.65
7 Cl 0.0000 0.0000 0.5000  4 As 2.54, 2 Rh 2.65
8 Cl 0.5000 0.5000 0.0000  4 As 2.54, 2 Rh 2.65

## Properties
E_form (uncorrected): 0.14 eV per atom
Symmetry: No. 139
DFT total energy: -20.39 eV/atom
Size of the total moment: 0.0 μB per formula unit